This record from OQMD describes an optimized crystal structure of LiScZnGe. The functional is PBE-GGA.

Computed properties:
The value obtained for the energy above the most stable polymorph in this dataset is 0 meV per atom. The calculation puts the total energy at -15.86 eV for the cell shown. The spin magnetization is 0.0 μB per cell.

abc: 4.5658 4.5658 4.5658
angles: 60.00 60.00 60.00
Last column: nearest neighbours and their distance in Å.
Fractional positions:
1 Ge 0.0000 0.0000 0.0000  4 Li 2.80, 4 Sc 2.80
2 Zn 0.5000 0.5000 0.5000  4 Li 2.80, 4 Sc 2.80
3 Li 0.7500 0.7500 0.7500  4 Ge 2.80, 4 Zn 2.80
4 Sc 0.2500 0.2500 0.2500  4 Zn 2.80, 4 Ge 2.80

This record from OQMD describes an optimized crystal structure of LiAu3Se5. The functional is PBE-GGA.

Computed properties:
The calculation puts the total energy at -28.80 eV for the cell shown.

abc: 5.5348 5.5348 8.6055
angles: 90.00 90.00 120.00
Last column: nearest neighbours and their distance in Å.
Fractional positions:
1 Au 0.5000 0.5000 0.5000  4 Au 2.77, 2 Se 2.77
2 Au 0.0000 0.5000 0.5000  2 Se 2.77, 4 Au 2.77
3 Se 0.3333 0.6667 0.8689  1 Se 2.26
4 Se 0.3333 0.6667 0.1311  1 Se 2.26
5 Li 0.0000 0.0000 0.0000  12 Se 3.39
6 Au 0.5000 0.0000 0.5000  4 Au 2.77, 2 Se 2.77
7 Se 0.0000 0.0000 0.5000  6 Au 2.77
8 Se 0.6667 0.3333 0.8689  1 Se 2.26
9 Se 0.6667 0.3333 0.1311  1 Se 2.26

This record from OQMD describes an optimized crystal structure of In2CuGeCl6. The functional is PBE-GGA.

Computed properties:
The calculation puts the total energy at -32.02 eV for the cell shown.

abc: 7.0142 7.0142 7.0142
angles: 60.00 60.00 60.00
Last column: nearest neighbours and their distance in Å.
Fractional positions:
1 In 0.7500 0.7500 0.7500  12 Cl 3.51
2 Cl 0.2460 0.7540 0.7540  1 Cu 2.44, 1 Ge 2.52
3 In 0.2500 0.2500 0.2500  12 Cl 3.51
4 Cl 0.7540 0.7540 0.2460  1 Cu 2.44, 1 Ge 2.52
5 Cl 0.2460 0.7540 0.2460  1 Cu 2.44, 1 Ge 2.52
6 Cl 0.7540 0.2460 0.2460  1 Cu 2.44, 1 Ge 2.52
7 Cu 0.0000 0.0000 0.0000  6 Cl 2.44
8 Cl 0.7540 0.2460 0.7540  1 Cu 2.44, 1 Ge 2.52
9 Ge 0.5000 0.5000 0.5000  6 Cl 2.52
10 Cl 0.2460 0.2460 0.7540  1 Cu 2.44, 1 Ge 2.52

This record from OQMD describes an optimized crystal structure of BeAlReW. The functional is PBE-GGA.

Computed properties:
The value obtained for the energy above the most stable polymorph in this dataset is 392 meV per atom. The calculation puts the total energy at -31.63 eV for the cell shown. The spin magnetization is 0.2 μB per cell.

abc: 4.2392 4.2392 4.2392
angles: 60.00 60.00 60.00
Last column: nearest neighbours and their distance in Å.
Fractional positions:
1 W 0.0000 0.0000 0.0000  4 Al 2.60, 4 Be 2.60
2 Re 0.5000 0.5000 0.5000  4 Al 2.60, 4 Be 2.60
3 Al 0.2500 0.2500 0.2500  4 Re 2.60, 4 W 2.60
4 Be 0.7500 0.7500 0.7500  4 Re 2.60, 4 W 2.60